Entry 1:
A relaxed structure of KLi2Cd, computed with PBE.

Output
The crystal system is tetragonal. For the total energy, the calculation gives -1.338 eV per atom. For the formation energy, the calculation gives 0.122 eV/atom.

Geometry as CIF:
```
data_KLi2Cd
_chemical_formula_sum 'K2 Li4 Cd2'
_cell_length_a 5.0999
_cell_length_b 5.0999
_cell_length_c 10.8619
_cell_angle_alpha 76.42
_cell_angle_beta 76.42
_cell_angle_gamma 90.00
_space_group_name_H-M_alt 'P 1'
_space_group_IT_number 1
_space_group_name_Hall 'P 1'
loop_
_atom_site_label
_atom_site_type_symbol
_atom_site_fract_x
_atom_site_fract_y
_atom_site_fract_z
_atom_site_occupancy
K1 K 0.2500 0.7500 0.5000 1
Li1 Li 0.9955 0.6250 0.2500 1
Li2 Li 0.7545 0.1250 0.2500 1
Cd1 Cd 0.0000 0.0000 0.0000 1
Li3 Li 0.8750 0.0045 0.7500 1
Li4 Li 0.3750 0.2455 0.7500 1
K2 K 0.5000 0.5000 0.0000 1
Cd2 Cd 0.7500 0.2500 0.5000 1
```

Entry 2:
A relaxed structure of KLi2Cd, computed with PBE.

Output
The crystal system is trigonal. For the total energy, the calculation gives -1.345 eV per atom. For the formation energy, the calculation gives 0.115 eV/atom.

Geometry as CIF:
```
data_KLi2Cd
_chemical_formula_sum 'K1 Li2 Cd1'
_cell_length_a 10.6227
_cell_length_b 10.6227
_cell_length_c 10.6227
_cell_angle_alpha 19.94
_cell_angle_beta 19.94
_cell_angle_gamma 19.94
_space_group_name_H-M_alt 'P 1'
_space_group_IT_number 1
_space_group_name_Hall 'P 1'
loop_
_atom_site_label
_atom_site_type_symbol
_atom_site_fract_x
_atom_site_fract_y
_atom_site_fract_z
_atom_site_occupancy
Li1 Li 0.9795 0.9795 0.9795 1
Cd1 Cd 0.2500 0.2500 0.2500 1
Li2 Li 0.5205 0.5205 0.5205 1
K1 K 0.7500 0.7500 0.7500 1
```

Entry 3:
A relaxed structure of KLi2Cd9, computed with PBE.

Output
The crystal system is hexagonal. For the total energy, the calculation gives -1.164 eV per atom. For the formation energy, the calculation gives -0.068 eV/atom.

Geometry as CIF:
```
data_KLi2Cd9
_chemical_formula_sum 'K1 Li2 Cd9'
_cell_length_a 3.3707
_cell_length_b 9.7610
_cell_length_c 9.7610
_cell_angle_alpha 120.00
_cell_angle_beta 90.00
_cell_angle_gamma 90.00
_space_group_name_H-M_alt 'P 1'
_space_group_IT_number 1
_space_group_name_Hall 'P 1'
loop_
_atom_site_label
_atom_site_type_symbol
_atom_site_fract_x
_atom_site_fract_y
_atom_site_fract_z
_atom_site_occupancy
Cd1 Cd 0.5000 0.1877 0.8123 1
Cd2 Cd 0.5000 0.3754 0.1877 1
Cd3 Cd 0.0000 0.0000 0.5000 1
Li1 Li 0.0000 0.6667 0.3333 1
Cd4 Cd 0.0000 0.5000 0.5000 1
Cd5 Cd 0.5000 0.6246 0.8123 1
Li2 Li 0.0000 0.3333 0.6667 1
Cd6 Cd 0.0000 0.5000 0.0000 1
Cd7 Cd 0.5000 0.1877 0.3754 1
Cd8 Cd 0.5000 0.8123 0.6246 1
Cd9 Cd 0.5000 0.8123 0.1877 1
K1 K 0.0000 0.0000 0.0000 1
```

Entry 4:
A relaxed structure of KLiCd3, computed with PBE.

Output
The crystal system is cubic. For the total energy, the calculation gives -1.141 eV per atom. For the formation energy, the calculation gives 0.011 eV/atom.

Geometry as CIF:
```
data_KLiCd3
_chemical_formula_sum 'K1 Li1 Cd3'
_cell_length_a 5.2459
_cell_length_b 5.2459
_cell_length_c 5.2459
_cell_angle_alpha 90.00
_cell_angle_beta 90.00
_cell_angle_gamma 90.00
_space_group_name_H-M_alt 'P 1'
_space_group_IT_number 1
_space_group_name_Hall 'P 1'
loop_
_atom_site_label
_atom_site_type_symbol
_atom_site_fract_x
_atom_site_fract_y
_atom_site_fract_z
_atom_site_occupancy
Cd1 Cd 0.0000 0.0000 0.5000 1
Cd2 Cd 0.5000 0.0000 0.0000 1
K1 K 0.5000 0.5000 0.5000 1
Cd3 Cd 0.0000 0.5000 0.0000 1
Li1 Li 0.0000 0.0000 0.0000 1
```

Entry 5:
A relaxed structure of K2LiMnCd, computed with PBE.

Output
The crystal system is tetragonal. For the total energy, the calculation gives -2.264 eV per atom. For the formation energy, the calculation gives 0.575 eV/atom.

Geometry as CIF:
```
data_K2LiMnCd
_chemical_formula_sum 'K2 Li1 Mn1 Cd1'
_cell_length_a 6.5613
_cell_length_b 5.3299
_cell_length_c 6.5613
_cell_angle_alpha 90.00
_cell_angle_beta 90.00
_cell_angle_gamma 90.00
_space_group_name_H-M_alt 'P 1'
_space_group_IT_number 1
_space_group_name_Hall 'P 1'
loop_
_atom_site_label
_atom_site_type_symbol
_atom_site_fract_x
_atom_site_fract_y
_atom_site_fract_z
_atom_site_occupancy
K1 K 0.0000 0.0000 0.5000 1
K2 K 0.5000 0.0000 0.0000 1
Cd1 Cd 0.0000 0.0000 0.0000 1
Li1 Li 0.5000 0.5000 0.5000 1
Mn1 Mn 0.0000 0.5000 0.0000 1
```

Entry 6:
A relaxed structure of KNa2LiCd, computed with PBE.

Output
The crystal system is tetragonal. For the total energy, the calculation gives -1.258 eV per atom. For the formation energy, the calculation gives 0.055 eV/atom.

Geometry as CIF:
```
data_KNa2LiCd
_chemical_formula_sum 'K1 Na2 Li1 Cd1'
_cell_length_a 6.0113
_cell_length_b 6.0113
_cell_length_c 5.4766
_cell_angle_alpha 90.00
_cell_angle_beta 90.00
_cell_angle_gamma 90.00
_space_group_name_H-M_alt 'P 1'
_space_group_IT_number 1
_space_group_name_Hall 'P 1'
loop_
_atom_site_label
_atom_site_type_symbol
_atom_site_fract_x
_atom_site_fract_y
_atom_site_fract_z
_atom_site_occupancy
Na1 Na 0.5000 0.0000 0.0000 1
Li1 Li 0.0000 0.0000 0.5000 1
Na2 Na 0.0000 0.5000 0.0000 1
Cd1 Cd 0.0000 0.0000 0.0000 1
K1 K 0.5000 0.5000 0.5000 1
```

Entry 7:
A relaxed structure of KNa2LiCd, computed with PBE.

Output
The crystal system is tetragonal. For the total energy, the calculation gives -1.252 eV per atom. For the formation energy, the calculation gives 0.061 eV/atom.

Geometry as CIF:
```
data_KNa2LiCd
_chemical_formula_sum 'K1 Na2 Li1 Cd1'
_cell_length_a 5.7973
_cell_length_b 5.7973
_cell_length_c 5.4064
_cell_angle_alpha 90.00
_cell_angle_beta 90.00
_cell_angle_gamma 90.00
_space_group_name_H-M_alt 'P 1'
_space_group_IT_number 1
_space_group_name_Hall 'P 1'
loop_
_atom_site_label
_atom_site_type_symbol
_atom_site_fract_x
_atom_site_fract_y
_atom_site_fract_z
_atom_site_occupancy
Cd1 Cd 0.0000 0.0000 0.5000 1
K1 K 0.5000 0.5000 0.5000 1
Na1 Na 0.0000 0.5000 0.0000 1
Li1 Li 0.0000 0.0000 0.0000 1
Na2 Na 0.5000 0.0000 0.0000 1
```

Entry 8:
A relaxed structure of K2LiCdP2, computed with PBE.

Output
The crystal system is orthorhombic. For the total energy, the calculation gives -2.992 eV per atom. For the formation energy, the calculation gives -0.352 eV/atom.

Geometry as CIF:
```
data_K2LiCdP2
_chemical_formula_sum 'K4 Li2 Cd2 P4'
_cell_length_a 6.2530
_cell_length_b 6.3536
_cell_length_c 8.8426
_cell_angle_alpha 111.05
_cell_angle_beta 110.71
_cell_angle_gamma 90.00
_space_group_name_H-M_alt 'P 1'
_space_group_IT_number 1
_space_group_name_Hall 'P 1'
loop_
_atom_site_label
_atom_site_type_symbol
_atom_site_fract_x
_atom_site_fract_y
_atom_site_fract_z
_atom_site_occupancy
P1 P 0.3450 0.5964 0.1929 1
K1 K 0.0694 0.3261 0.6522 1
Cd1 Cd 0.5000 0.7500 0.0000 1
P2 P 0.8479 0.0964 0.1929 1
K2 K 0.4172 0.1739 0.3478 1
K3 K 0.9306 0.6739 0.3478 1
Cd2 Cd 0.5000 0.2500 0.0000 1
Li1 Li 0.0000 0.7500 0.0000 1
Li2 Li 0.0000 0.2500 0.0000 1
P3 P 0.6550 0.4036 0.8071 1
P4 P 0.1521 0.9036 0.8071 1
K4 K 0.5828 0.8261 0.6522 1
```